A crystal of BaBe2Rh relaxed with PBEsol. Source: the Alexandria database, functional SCAN.

- uncorrected energy (eV/cell) = -81.48
- total magnetization (μB/f.u.) = 0.00
- energy above the most stable polymorph in this dataset (meV/atom) = 411.5
- crystal system = tetragonal
- volume (Å³ per atom) = 17.14
- ρ (Mg/m³) = 6.26
- DOS at the Fermi energy (states/eV/cell) = 2.649

a b c (Å): 3.113 3.113 7.076
angles (deg): 90.00 90.00 90.00
Space group P4mm (No. 99)
Symmetry-distinct sites (fractional):
1 Ba 0.000 0.000 0.000 [1 per cell]
2 Be 0.000 0.000 0.533 [1 per cell]
3 Be 0.500 0.500 0.356 [1 per cell]
4 Rh 0.500 0.500 0.652 [1 per cell]